Record 1
Below is a PBEsol-optimized structure of K2PPd, with properties calculated at the SCAN level.

a b c (Å): 8.923 8.923 8.923
angles (deg): 93.50 93.50 151.39
Atoms (fractional coordinates):
K  0.375  0.115  0.240
K  0.865  0.625  0.740
K  0.875  0.135  0.760
K  0.885  0.125  0.260
P  0.250  0.750  0.500
P  0.500  0.500  0.000
Pd  0.000  0.000  0.000
Pd  0.750  0.250  0.500

SG: I-42d
Crystal system: tetragonal
E_form in meV/atom: -378

***

Record 2
Below is a PBEsol-optimized structure of GaNi4Ge3, with properties calculated at the SCAN level.

a b c (Å): 3.781 11.296 4.896
angles (deg): 90.00 90.00 90.00
Atoms (fractional coordinates):
Ga  0.000  0.186  0.000
Ga  0.000  0.814  0.500
Ni  0.000  0.004  0.263
Ni  0.000  0.204  0.502
Ni  0.000  0.796  0.002
Ni  0.000  0.996  0.763
Ni  0.500  0.299  0.775
Ni  0.500  0.495  0.023
Ni  0.500  0.505  0.523
Ni  0.500  0.701  0.275
Ge  0.000  0.427  0.755
Ge  0.000  0.573  0.255
Ge  0.500  0.072  0.530
Ge  0.500  0.312  0.282
Ge  0.500  0.688  0.782
Ge  0.500  0.928  0.030

SG: Pmc2_1
Offset from the most stable computed form in meV/atom: 0
Crystal system: orthorhombic
E_form in meV/atom: -347

***

Record 3
Below is a PBEsol-optimized structure of Be2CoBiO, with properties calculated at the SCAN level.

a b c (Å): 4.671 4.671 4.335
angles (deg): 90.00 90.00 90.00
Atoms (fractional coordinates):
Be  0.000  0.500  0.000
Be  0.500  0.000  0.000
Co  0.000  0.000  0.500
Bi  0.500  0.500  0.000
O  0.500  0.500  0.500

SG: P4/mmm
E_form (uncorrected) in eV/atom: 1.23
Crystal system: tetragonal

***

Record 4
Below is a PBEsol-optimized structure of H2Ru2Rh, with properties calculated at the SCAN level.

a b c (Å): 4.672 4.672 4.672
angles (deg): 137.52 137.52 61.64
Atoms (fractional coordinates):
H  0.250  0.750  0.500
H  0.750  0.250  0.500
Ru  0.159  0.159  0.000
Ru  0.841  0.841  0.000
Rh  0.500  0.500  0.000

SG: I4/mmm
Uncorrected energy in eV per atom: -21.780
Crystal system: tetragonal